Arrangement 1

The following is a DFT calculation (PBE) of an optimized crystal structure of ScP2W.

Structure (extended XYZ):
```
4
Lattice="-3.9516 1.4688 1.2420 -3.0620 0.8937 -3.0233 -3.5287 -2.5913 -0.3865" Properties=species:S:1:pos:R:3 pbc="T T T"
W -5.2712 -0.1144 -1.0839
Sc 0.0000 0.0000 0.0000
P -2.6356 -0.0572 -0.5420
P -7.9067 -0.1715 -1.6259
```

Values from the calculation:
- spin magnetization (μB per cell) = 0.0

Arrangement 2

The following is a DFT calculation (PBE) of an optimized crystal structure of ScP2W.

Structure (extended XYZ):
```
4
Lattice="-4.9231 4.1482 0.3497 -3.7102 2.5909 4.5923 5.8125 -1.5787 -2.2999" Properties=species:S:1:pos:R:3 pbc="T T T"
W -0.7039 1.8761 2.1509
P -2.0262 3.2135 0.4394
Sc -3.9435 3.0783 2.2574
P -0.4638 0.3620 0.2655
```

Values from the calculation:
- spin magnetization (μB per cell) = 0.0

Arrangement 3

The following is a DFT calculation (PBE) of an optimized crystal structure of ScP2W.

Structure (extended XYZ):
```
8
Lattice="5.5953 0.0000 0.0000 0.0000 5.5953 0.0000 2.7977 2.7977 5.7623" Properties=species:S:1:pos:R:3 pbc="T T T"
P 6.9942 7.2040 4.3217
P 4.1965 3.9867 4.3217
Sc 2.7977 5.5953 2.8811
P 4.4063 1.3988 1.4406
Sc 2.7977 2.7977 0.0000
P 1.1890 4.1965 1.4406
W 0.0000 0.0000 0.0000
W 5.5953 2.7977 2.8811
```

Values from the calculation:
- spin magnetization (μB per cell) = 0.0

Arrangement 4

The following is a DFT calculation (PBE) of an optimized crystal structure of ScP2W.

Structure (extended XYZ):
```
4
Lattice="2.8573 -0.0061 0.0000 -0.7783 2.7493 0.0000 0.0000 0.0000 9.5722" Properties=species:S:1:pos:R:3 pbc="T T T"
Sc 0.0000 0.0000 4.8580
W 1.0395 1.3716 7.2217
P 0.0000 0.0000 8.9720
P 1.0395 1.3716 2.8789
```

Values from the calculation:
- spin magnetization (μB per cell) = 0.0

Of them, arrangement 2 has the highest stability.

Arrangement 1

The following is a DFT calculation (PBE) of an optimized crystal structure of Sc3PW.

Structure (extended XYZ):
```
5
Lattice="4.9945 0.0000 0.0000 0.0000 4.9945 0.0000 0.0000 0.0000 4.9945" Properties=species:S:1:pos:R:3 pbc="T T T"
Sc 0.0000 0.0000 2.4973
W 0.0000 0.0000 0.0000
P 2.4973 2.4973 2.4973
Sc 0.0000 2.4973 0.0000
Sc 2.4973 0.0000 0.0000
```

Values from the calculation:
- spin magnetization (μB per cell) = 0.0

Arrangement 2

The following is a DFT calculation (PBE) of an optimized crystal structure of Sc3PW.

Structure (extended XYZ):
```
5
Lattice="-1.7539 4.4093 -0.7948 -0.7604 -1.1341 -4.6136 -4.4153 -1.5562 1.1103" Properties=species:S:1:pos:R:3 pbc="T T T"
Sc -0.3802 -0.5670 -2.3068
Sc -2.2077 -0.7781 0.5551
P 0.0000 0.0000 0.0000
W -3.4648 0.8595 -2.1491
Sc -0.8769 2.2046 -0.3974
```

Values from the calculation:
- spin magnetization (μB per cell) = 1.5

Of them, arrangement 2 has the highest stability.

Arrangement 1

The following is a DFT calculation (PBE) of an optimized crystal structure of ScPW3.

Structure (extended XYZ):
```
5
Lattice="-1.6513 -2.1841 -3.5796 3.1423 -3.1920 0.4980 -2.7766 -2.3134 2.6925" Properties=species:S:1:pos:R:3 pbc="T T T"
W -0.8257 -1.0921 -1.7898
P 0.0000 0.0000 0.0000
W 1.5712 -1.5960 0.2490
W -1.3883 -1.1567 1.3462
Sc -0.6428 -3.8447 -0.1945
```

Values from the calculation:
- spin magnetization (μB per cell) = 0.0

Arrangement 2

The following is a DFT calculation (PBE) of an optimized crystal structure of ScPW3.

Structure (extended XYZ):
```
5
Lattice="-3.1541 2.8368 1.9002 -3.2955 -1.8526 -2.7045 -0.8932 -3.1823 3.2683" Properties=species:S:1:pos:R:3 pbc="T T T"
P -3.6714 -1.0991 1.2320
Sc 0.0000 0.0000 0.0000
W -1.5771 1.4184 0.9501
W -0.4466 -1.5912 1.6342
W -1.6478 -0.9263 -1.3522
```

Values from the calculation:
- spin magnetization (μB per cell) = 0.0

Of them, arrangement 1 has the highest stability.

Arrangement 1

The following is a DFT calculation (PBE) of an optimized crystal structure of YScP2.

Structure (extended XYZ):
```
4
Lattice="0.0000 3.3838 3.3838 3.3838 0.0000 3.3838 3.3838 3.3838 0.0000" Properties=species:S:1:pos:R:3 pbc="T T T"
P 5.0758 5.0758 5.0758
Y 3.3838 3.3838 3.3838
Sc 0.0000 0.0000 0.0000
P 1.6919 1.6919 1.6919
```

Values from the calculation:
- spin magnetization (μB per cell) = 0.0

Arrangement 2

The following is a DFT calculation (PBE) of an optimized crystal structure of YScP2.

Structure (extended XYZ):
```
4
Lattice="7.0563 0.0034 -0.0032 5.2201 4.7478 0.0032 -6.1237 -2.4129 2.5434" Properties=species:S:1:pos:R:3 pbc="T T T"
P 3.2446 2.5980 1.2733
Y 3.0016 -0.2235 1.2701
P 0.4423 0.1712 0.0000
Sc 5.6022 2.1682 0.0000
```

Values from the calculation:
- spin magnetization (μB per cell) = 0.0

Arrangement 3

The following is a DFT calculation (PBE) of an optimized crystal structure of YScP2.

Structure (extended XYZ):
```
8
Lattice="-2.9015 -3.8545 3.7713 -1.3708 -3.6146 -4.7491 3.0396 -6.8055 0.3545" Properties=species:S:1:pos:R:3 pbc="T T T"
Y -0.9991 -7.1973 1.8184
P 0.6475 -7.9844 -0.2050
P -1.4285 -11.5603 -0.4854
Sc -2.1362 -3.7345 -0.4889
P -0.5233 -4.5270 -2.3253
P -1.1612 -4.4776 1.7693
Sc -0.2337 -7.0774 -2.4417
Y 0.0000 0.0000 0.0000
```

Values from the calculation:
- spin magnetization (μB per cell) = 0.0

Of them, arrangement 2 has the highest stability.

Arrangement 1

The following is a DFT calculation (PBE) of an optimized crystal structure of YScP2.

Structure (extended XYZ):
```
4
Lattice="-0.6625 0.2737 3.2849 0.9888 -3.2054 0.4665 6.3443 2.1177 1.1030" Properties=species:S:1:pos:R:3 pbc="T T T"
P 3.0756 1.0266 0.5347
P 0.0966 0.0322 0.0168
Sc 1.7493 -0.9364 2.1515
Y 4.9214 0.1224 2.7029
```

Values from the calculation:
- spin magnetization (μB per cell) = 0.0

Arrangement 2

The following is a DFT calculation (PBE) of an optimized crystal structure of YScP2.

Structure (extended XYZ):
```
4
Lattice="-0.9272 -3.0251 2.6412 2.8364 -3.5396 -3.0582 2.9395 0.7358 1.8747" Properties=species:S:1:pos:R:3 pbc="T T T"
P 0.9546 -3.2823 -0.2085
P 0.0000 0.0000 0.0000
Sc 1.0061 -1.1446 2.2580
Y 2.8880 -1.4019 -0.5917
```

Values from the calculation:
- spin magnetization (μB per cell) = 0.0

Of them, arrangement 2 has the highest stability.

Arrangement 1

The following is a DFT calculation (PBE) of an optimized crystal structure of YScP2.

Structure (extended XYZ):
```
4
Lattice="-3.9093 4.2424 0.3464 -5.2638 1.2284 2.0453 1.6418 1.2283 3.4882" Properties=species:S:1:pos:R:3 pbc="T T T"
Sc -3.8722 3.1366 2.4774
P 1.3535 1.1240 3.0733
Y -5.4265 5.1682 4.8423
P -1.7099 1.8480 1.9152
```

Values from the calculation:
- spin magnetization (μB per cell) = 0.0

Arrangement 2

The following is a DFT calculation (PBE) of an optimized crystal structure of YScP2.

Structure (extended XYZ):
```
4
Lattice="4.9548 -0.0005 0.0102 0.1504 4.9525 -0.0102 -1.8406 -3.2100 3.2952" Properties=species:S:1:pos:R:3 pbc="T T T"
Sc 0.4312 2.1092 1.6425
P 0.0689 0.0669 0.0000
P 2.4837 2.4091 0.0000
Y 2.8334 -0.3673 1.6527
```

Values from the calculation:
- spin magnetization (μB per cell) = 0.0

Of them, arrangement 1 has the highest stability.

Arrangement 1

The following is a DFT calculation (PBE) of an optimized crystal structure of Y3ScP.

Structure (extended XYZ):
```
5
Lattice="-3.4864 0.6096 -4.0021 -4.0332 -0.9781 3.3645 -0.3488 5.2167 1.0985" Properties=species:S:1:pos:R:3 pbc="T T T"
Y -0.1744 2.6084 0.5493
Y -1.7432 0.3048 -2.0010
Sc -3.9342 2.4241 0.2305
P 0.0000 0.0000 0.0000
Y -2.0166 -0.4891 1.6822
```

Values from the calculation:
- spin magnetization (μB per cell) = 2.1

Arrangement 2

The following is a DFT calculation (PBE) of an optimized crystal structure of Y3ScP.

Structure (extended XYZ):
```
5
Lattice="5.3389 0.0000 0.0000 0.0000 5.3389 0.0000 0.0000 0.0000 5.3389" Properties=species:S:1:pos:R:3 pbc="T T T"
P 2.6695 2.6695 2.6695
Y 0.0000 2.6695 0.0000
Y 2.6695 0.0000 0.0000
Y 0.0000 0.0000 2.6695
Sc 0.0000 0.0000 0.0000
```

Values from the calculation:
- spin magnetization (μB per cell) = 0.0

Of them, arrangement 1 has the highest stability.

Arrangement 1

The following is a DFT calculation (PBE) of an optimized crystal structure of YSc3P.

Structure (extended XYZ):
```
5
Lattice="5.0427 0.0000 0.0000 0.0000 5.0427 0.0000 0.0000 0.0000 5.0427" Properties=species:S:1:pos:R:3 pbc="T T T"
P 0.0000 0.0000 0.0000
Sc 2.5214 0.0000 0.0000
Sc 0.0000 0.0000 2.5214
Y 2.5214 2.5214 2.5214
Sc 0.0000 2.5214 0.0000
```

Values from the calculation:
- spin magnetization (μB per cell) = 2.2

Arrangement 2

The following is a DFT calculation (PBE) of an optimized crystal structure of YSc3P.

Structure (extended XYZ):
```
5
Lattice="-4.5088 1.0771 2.1925 -2.4284 -1.4779 -4.2679 -0.2645 -4.7908 1.8095" Properties=species:S:1:pos:R:3 pbc="T T T"
P -3.6008 -2.5959 -0.1329
Y 0.0000 0.0000 0.0000
Sc -0.1322 -2.3954 0.9048
Sc -1.2142 -0.7390 -2.1339
Sc -2.2544 0.5385 1.0963
```

Values from the calculation:
- spin magnetization (μB per cell) = 0.0

Of them, arrangement 1 has the highest stability.

Arrangement 1

The following is a DFT calculation (PBE) of an optimized crystal structure of YScP3.

Structure (extended XYZ):
```
5
Lattice="5.1171 0.0000 0.0000 0.0000 5.1171 0.0000 0.0000 0.0000 5.1171" Properties=species:S:1:pos:R:3 pbc="T T T"
P 0.0000 2.5586 0.0000
P 2.5586 0.0000 0.0000
Y 0.0000 0.0000 0.0000
P 0.0000 0.0000 2.5586
Sc 2.5586 2.5586 2.5586
```

Values from the calculation:
- spin magnetization (μB per cell) = 0.0

Arrangement 2

The following is a DFT calculation (PBE) of an optimized crystal structure of YScP3.

Structure (extended XYZ):
```
5
Lattice="4.8522 0.0000 0.0000 0.0000 4.8522 0.0000 0.0000 0.0000 4.8522" Properties=species:S:1:pos:R:3 pbc="T T T"
P 2.4261 0.0000 0.0000
P 0.0000 2.4261 0.0000
Sc 0.0000 0.0000 0.0000
P 0.0000 0.0000 2.4261
Y 2.4261 2.4261 2.4261
```

Values from the calculation:
- spin magnetization (μB per cell) = 0.0

Of them, arrangement 2 has the highest stability.

Arrangement 1

The following is a DFT calculation (PBE) of an optimized crystal structure of ScZnP3.

Structure (extended XYZ):
```
5
Lattice="-2.5254 -3.7783 -0.7534 1.4192 -0.0749 -4.3819 3.5817 -2.6343 1.2051" Properties=species:S:1:pos:R:3 pbc="T T T"
Sc 1.2378 -3.2437 -1.9651
P -1.2627 -1.8891 -0.3767
P 0.7096 -0.0374 -2.1909
Zn 0.0000 0.0000 0.0000
P 1.7909 -1.3172 0.6025
```

Values from the calculation:
- spin magnetization (μB per cell) = 0.0

Arrangement 2

The following is a DFT calculation (PBE) of an optimized crystal structure of ScZnP3.

Structure (extended XYZ):
```
5
Lattice="4.9107 0.0000 0.0000 0.0000 4.9107 0.0000 0.0000 0.0000 4.9107" Properties=species:S:1:pos:R:3 pbc="T T T"
P 0.0000 0.0000 2.4553
P 2.4553 0.0000 0.0000
Sc 0.0000 0.0000 0.0000
P 0.0000 2.4553 0.0000
Zn 2.4553 2.4553 2.4553
```

Values from the calculation:
- spin magnetization (μB per cell) = 0.0

Of them, arrangement 1 has the highest stability.

Arrangement 1

The following is a DFT calculation (PBE) of an optimized crystal structure of Sc2Zn2P.

Structure (extended XYZ):
```
10
Lattice="-1.8816 6.2456 1.9950 -5.1873 -0.1487 -4.4269 -2.5798 -1.7618 3.0822" Properties=species:S:1:pos:R:3 pbc="T T T"
P -3.5344 3.0484 -1.2159
Sc -2.0341 1.0079 -1.1265
Zn -2.6692 1.3937 1.6867
Zn -4.8213 -0.1465 -0.9950
Sc -4.9317 1.9422 -3.0178
Sc -2.1372 4.1547 0.5859
Sc -5.0347 5.0890 -1.3054
P 0.0000 0.0000 0.0000
Zn -4.8275 4.4816 1.6452
Zn -6.9795 2.9414 -1.0364
```

Values from the calculation:
- spin magnetization (μB per cell) = 0.0

Arrangement 2

The following is a DFT calculation (PBE) of an optimized crystal structure of Sc2Zn2P.

Structure (extended XYZ):
```
10
Lattice="6.5056 0.0000 0.0000 0.0000 6.5056 0.0000 0.0000 0.0000 4.2031" Properties=species:S:1:pos:R:3 pbc="T T T"
Zn 0.8593 2.3936 0.0000
Zn 5.6464 4.1121 0.0000
Sc 2.1590 1.0938 2.1015
Sc 1.0938 4.3466 2.1015
Zn 4.1121 0.8593 0.0000
P 3.2528 3.2528 0.0000
Sc 4.3466 5.4118 2.1015
P 0.0000 0.0000 0.0000
Sc 5.4118 2.1590 2.1015
Zn 2.3936 5.6464 0.0000
```

Values from the calculation:
- spin magnetization (μB per cell) = 0.0

Arrangement 3

The following is a DFT calculation (PBE) of an optimized crystal structure of Sc2Zn2P.

Structure (extended XYZ):
```
5
Lattice="-1.7225 1.7225 7.9214 1.7225 -1.7225 7.9214 1.7225 1.7225 -7.9214" Properties=species:S:1:pos:R:3 pbc="T T T"
Sc 0.0000 0.0000 6.4855
Zn 1.7225 0.0000 3.9607
Sc 0.0000 0.0000 9.3573
Zn 0.0000 1.7225 3.9607
P 0.0000 0.0000 0.0000
```

Values from the calculation:
- spin magnetization (μB per cell) = 0.0

Of them, arrangement 3 has the highest stability.

Arrangement 1

The following is a DFT calculation (PBE) of an optimized crystal structure of Zr3ScP.

Structure (extended XYZ):
```
5
Lattice="4.9517 0.0000 0.0000 0.0000 4.9517 0.0000 0.0000 0.0000 4.9517" Properties=species:S:1:pos:R:3 pbc="T T T"
P 2.4758 2.4758 2.4758
Zr 0.0000 2.4758 0.0000
Zr 0.0000 0.0000 2.4758
Zr 2.4758 0.0000 0.0000
Sc 0.0000 0.0000 0.0000
```

Values from the calculation:
- spin magnetization (μB per cell) = 0.0

Arrangement 2

The following is a DFT calculation (PBE) of an optimized crystal structure of Zr3ScP.

Structure (extended XYZ):
```
5
Lattice="-4.4623 -1.4936 -1.5006 -0.4754 -2.7044 4.1055 -2.0632 3.8536 2.2996" Properties=species:S:1:pos:R:3 pbc="T T T"
P 0.0000 0.0000 0.0000
Zr -1.0316 1.9268 1.1498
Zr -0.2377 -1.3522 2.0527
Sc -3.5004 -0.1722 2.4522
Zr -2.2311 -0.7468 -0.7503
```

Values from the calculation:
- spin magnetization (μB per cell) = 0.0

Of them, arrangement 2 has the highest stability.